This record from Alexandria describes a geometry-optimized BaCuAsSe2 structure. The functional is PBE.

a b c (Å): 5.1986 5.1986 4.6152
angles (deg): 90.00 90.00 90.00
Positions (direct):
1 Ba 0.0000 0.0000 0.0000
2 Cu 0.5000 0.5000 0.5000
3 As 0.5000 0.5000 0.0000
4 Se 0.0000 0.5000 0.5000
5 Se 0.5000 0.0000 0.5000

Calculated values
* energy relative to the lowest polymorph listed for this composition: 0.0 meV per atom
* raw formation energy: -12.6 kcal/mol of atoms
* energy: -4.0752 eV/atom